Density functional theory data (PBE with a Hubbard U) for an optimized crystal structure of TiCo2O.

Values from the calculation:
The calculation puts the energy above the most stable polymorph in this dataset at 328 meV/atom.

Cell: 4.0498 4.0498 4.0498 Å, 60.00 60.00 60.00°
With the nearest neighbours (Å) after each atom.
Atoms (fractional coordinates):
Co1 0.2500 0.2500 0.2500  4 O 2.48, 4 Ti 2.48
Co2 0.7500 0.7500 0.7500  4 Ti 2.48, 4 O 2.48
O1 0.0000 0.0000 0.0000  8 Co 2.48
Ti1 0.5000 0.5000 0.5000  8 Co 2.48